Record 1
The following is a DFT calculation (PBE-GGA) of a relaxed structure of NaCe3Au4.

a = 3.632 Å, b = 3.632 Å, c = 14.890 Å
α = 90.00°, β = 90.00°, γ = 90.00°
Space group P4/mmm (No. 123)
Unique sites:
Na (0.000, 0.000, 0.000) (multiplicity 1)
Ce (0.000, 0.000, 0.243) (multiplicity 2)
Ce (0.000, 0.000, 0.500) (multiplicity 1)
Au (0.500, 0.500, 0.124) (multiplicity 2)
Au (0.500, 0.500, 0.373) (multiplicity 2)

Calculated values
- DFT formation energy (eV per formula unit) = -4.20
- N(E_F) (states/eV per atom) = 2.74

---

Record 2
The following is a DFT calculation (PBE-GGA) of a relaxed structure of NaCeAu10.

a = 4.706 Å, b = 5.602 Å, c = 9.735 Å
α = 90.00°, β = 90.00°, γ = 90.00°
Space group Pmmm (No. 47)
Unique sites:
Na (0.000, 0.000, 0.000) (multiplicity 1)
Ce (0.000, 0.500, 0.500) (multiplicity 1)
Au (0.000, 0.000, 0.328) (multiplicity 2)
Au (0.000, 0.500, 0.164) (multiplicity 2)
Au (0.500, 0.000, 0.500) (multiplicity 1)
Au (0.500, 0.254, 0.255) (multiplicity 4)
Au (0.500, 0.500, 0.000) (multiplicity 1)

Calculated values
- DFT formation energy (eV per formula unit) = -3.28
- N(E_F) (states/eV per atom) = 0.99

---

Record 3
The following is a DFT calculation (PBE-GGA) of a relaxed structure of NaCe2Au6.

a = 3.779 Å, b = 7.636 Å, c = 15.031 Å
α = 90.00°, β = 90.00°, γ = 90.00°
Space group Immm (No. 71)
Unique sites:
Na (0.000, 0.000, 0.000) (multiplicity 2)
Ce (0.000, 0.500, 0.138) (multiplicity 4)
Au (0.000, 0.191, 0.500) (multiplicity 4)
Au (0.000, 0.311, 0.323) (multiplicity 8)

Calculated values
- DFT formation energy (eV per formula unit) = -4.19
- N(E_F) (states/eV per atom) = 1.65
- ΔE to the lowest computed polymorph (meV per atom) = 55

---

Repeat the first record exactly.
The following is a DFT calculation (PBE-GGA) of a relaxed structure of NaCe3Au4.

a = 3.632 Å, b = 3.632 Å, c = 14.890 Å
α = 90.00°, β = 90.00°, γ = 90.00°
Space group P4/mmm (No. 123)
Unique sites:
Na (0.000, 0.000, 0.000) (multiplicity 1)
Ce (0.000, 0.000, 0.243) (multiplicity 2)
Ce (0.000, 0.000, 0.500) (multiplicity 1)
Au (0.500, 0.500, 0.124) (multiplicity 2)
Au (0.500, 0.500, 0.373) (multiplicity 2)

Calculated values
- DFT formation energy (eV per formula unit) = -4.20
- N(E_F) (states/eV per atom) = 2.74